Computed, not measured: an optimized crystal structure of Ba2TlZnO4 at the GGA-PBE level of DFT.

The calculation puts the raw total energy at -40.5 eV/cell. The space group is No. 82. As for the formation energy without anion corrections: -1.65 eV/atom. The value obtained for the total magnetization is 0.0 μB/cell.

```
data_Ba2TlZnO4
_cell_length_a 5.938
_cell_length_b 5.938
_cell_length_c 5.938
_cell_angle_alpha 95.01
_cell_angle_beta 117.15
_cell_angle_gamma 117.15
_space_group_name_H-M_alt 'P 1'
_space_group_IT_number 1
loop_
_space_group_symop_operation_xyz
'x,y,z'
loop_
_atom_site_label
_atom_site_fract_x
_atom_site_fract_y
_atom_site_fract_z
Ba1 0.500 0.750 0.250
O1 0.528 0.369 0.448
O2 0.078 0.159 0.631
Zn1 0.500 0.250 0.750
O3 0.472 0.919 0.841
O4 0.922 0.552 0.081
Ba2 0.000 0.000 0.000
Tl1 0.000 0.500 0.500
```